Record 1
Below is a relaxed structure of YGeHRu, with properties calculated at the PBE-GGA level.

```
YGeHRu
1.0
4.1111 0.0000 0.0000
0.0000 4.1111 0.0000
0.0000 0.0000 7.2613
Ge H Y Ru
2 2 2 2
direct
0.0000 0.5000 0.8126 Ge
0.5000 0.0000 0.1874 Ge
0.0000 0.0000 0.5000 H
0.5000 0.5000 0.5000 H
0.5000 0.0000 0.6591 Y
0.0000 0.5000 0.3409 Y
0.0000 0.0000 0.0000 Ru
0.5000 0.5000 0.0000 Ru
```

Computed properties:
Energy, eV/atom: -6.598

---

Record 2
Below is a relaxed structure of Al5Fe4Ag, with properties calculated at the PBE-GGA level.

```
Al5Fe4Ag
1.0
2.8810 0.0000 0.0000
0.0000 2.8810 0.0000
0.0000 0.0000 15.4012
Al Ag Fe
5 1 4
direct
0.5000 0.5000 0.8686 Al
0.5000 0.5000 0.1314 Al
0.5000 0.5000 0.5000 Al
0.5000 0.5000 0.3129 Al
0.5000 0.5000 0.6871 Al
0.0000 0.0000 0.0000 Ag
0.0000 0.0000 0.4075 Fe
0.0000 0.0000 0.7802 Fe
0.0000 0.0000 0.2198 Fe
0.0000 0.0000 0.5925 Fe
```

Computed properties:
Formation energy, meV per atom: -286

---

Record 3
Below is a relaxed structure of CeDyCCl, with properties calculated at the PBE-GGA level.

```
CeDyCCl
1.0
-3.5836 0.1644 0.5159
1.5322 -3.0941 -1.1019
2.7700 -1.0689 6.8535
Dy Ce C Cl
1 1 1 1
direct
0.0987 0.9473 0.0612 Dy
0.5133 0.1546 0.6830 Ce
0.3114 0.5537 0.8803 C
0.9546 0.3753 0.3451 Cl
```

Computed properties:
Energy relative to the elements, uncorrected, meV/atom: -1037.7

---

Record 4
Below is a relaxed structure of NdTmSnAu, with properties calculated at the PBE-GGA level.

```
NdTmSnAu
1.0
-4.0989 2.7560 -1.8542
-4.7871 -2.2080 -0.2053
-3.7947 1.6185 3.2886
Sn Au Nd Tm
1 1 1 1
direct
0.2500 0.2500 0.2500 Sn
0.7500 0.7500 0.7500 Au
0.5000 0.5000 0.5000 Nd
0.0000 0.0000 0.0000 Tm
```

Computed properties:
Formation energy, meV per atom: -690

---

Record 5
Below is a relaxed structure of ScPt2Se, with properties calculated at the PBE-GGA level.

```
ScPt2Se
1.0
-3.3010 -0.2910 -1.3681
1.1839 -2.5169 -2.3212
-0.1067 -6.1534 1.5662
Sc Se Pt
1 1 2
direct
0.5000 0.2500 0.2500 Sc
0.5000 0.7500 0.7500 Se
0.0000 0.9603 0.0051 Pt
0.0000 0.5397 0.4949 Pt
```

Computed properties:
Energy relative to the elements, uncorrected, meV/atom: -757.4

---

Record 6
Below is a relaxed structure of CsAg2F5, with properties calculated at the PBE-GGA level.

```
CsAg2F5
1.0
4.1239 0.0000 -1.1625
-0.3277 4.1108 -1.1625
0.1438 0.1557 8.4057
F Cs Ag
5 1 2
direct
0.8471 0.3471 0.6942 F
0.1529 0.6529 0.3058 F
0.6529 0.1529 0.3058 F
0.0000 0.0000 0.0000 F
0.3471 0.8471 0.6942 F
0.5000 0.5000 0.0000 Cs
0.1543 0.1543 0.3087 Ag
0.8457 0.8457 0.6913 Ag
```

Computed properties:
Energy relative to the elements, uncorrected, meV/atom: -1551.7

---

Record 7
Below is a relaxed structure of Li4HfMn3S8, with properties calculated at the PBE-GGA level.

```
Li4HfMn3S8
1.0
7.1902 0.0000 0.0000
0.0000 7.3441 0.1011
-3.5951 -3.5903 5.0880
S Li Hf Mn
8 4 1 3
direct
0.7404 0.7213 0.4809 S
0.2473 0.7387 0.9915 S
0.7528 0.2613 0.5055 S
0.2472 0.7387 0.4945 S
0.7442 0.7387 0.9915 S
0.2558 0.2613 0.0085 S
0.2596 0.2787 0.5191 S
0.7527 0.2613 0.0085 S
0.0000 0.0000 0.0000 Li
0.0000 0.0000 0.5000 Li
0.5000 0.0000 0.5000 Li
0.5000 0.0000 0.0000 Li
0.0000 0.5000 0.0000 Hf
0.0000 0.5000 0.5000 Mn
0.5000 0.5000 0.5000 Mn
0.5000 0.5000 0.0000 Mn
```

Computed properties:
Energy relative to the elements, uncorrected, meV/atom: -1052.1

---

Record 8
Below is a relaxed structure of Sm2Dy4Y2Tm, with properties calculated at the PBE-GGA level.

```
Sm2Dy4Y2Tm
1.0
-1.8217 -2.8382 -1.2393
7.4571 -4.2767 4.0413
-7.2148 2.0488 5.9130
Tm Dy Y Sm
1 4 2 2
direct
0.0000 0.0000 0.0000 Tm
0.4812 0.9624 0.6670 Dy
0.1849 0.3698 0.3348 Dy
0.5188 0.0376 0.3330 Dy
0.8151 0.6302 0.6652 Dy
0.8529 0.7058 0.3359 Y
0.1471 0.2942 0.6641 Y
0.3345 0.6690 0.9996 Sm
0.6655 0.3310 0.0004 Sm
```

Computed properties:
Formation energy, meV per atom: -1

---

Record 9
Below is a relaxed structure of Y2HCO, with properties calculated at the PBE-GGA level.

```
Y2HCO
1.0
4.4988 0.0000 0.0000
0.0000 3.4203 0.0000
0.0000 0.0000 4.4988
Y C H O
2 1 1 1
direct
0.5000 0.0000 0.0000 Y
0.0000 0.0000 0.5000 Y
0.5000 0.5000 0.5000 C
0.0000 0.5000 0.0000 H
0.0000 0.0000 0.0000 O
```

Computed properties:
Energy, eV/atom: -6.643

---

Record 10
Below is a relaxed structure of OsPdSN, with properties calculated at the PBE-GGA level.

```
OsPdSN
1.0
-5.1499 3.1029 2.0646
-0.9633 -2.4183 1.2316
4.7854 0.4391 4.6052
Pd N Os S
2 2 2 2
direct
0.2238 0.0000 0.6522 Pd
0.2238 0.5000 0.1522 Pd
0.5499 0.0000 0.8769 N
0.5499 0.5000 0.3769 N
0.6141 0.5000 0.6927 Os
0.6141 0.0000 0.1927 Os
0.9841 0.5000 0.7974 S
0.9841 0.0000 0.2974 S
```

Computed properties:
Distance to the lowest polymorph of the same formula, meV/atom: 58
Energy relative to the elements, uncorrected, meV/atom: 235.0

---

Record 11
Below is a relaxed structure of BaMnPPt2, with properties calculated at the PBE-GGA level.

```
BaMnPPt2
1.0
-3.0855 3.2828 2.0337
-2.9345 -3.1228 0.5886
1.9150 -0.9599 4.4548
P Pt Mn Ba
1 2 1 1
direct
0.0000 0.5000 0.0000 P
0.5000 0.0000 0.0000 Pt
0.0000 0.0000 0.5000 Pt
0.0000 0.0000 0.0000 Mn
0.5000 0.5000 0.5000 Ba
```

Computed properties:
Formation energy, meV per atom: -116

---

Record 12
Below is a relaxed structure of Ho4AlCd, with properties calculated at the PBE-GGA level.

```
Ho4AlCd
1.0
5.0529 0.0000 0.0000
2.5264 4.3692 0.2528
2.5264 0.9768 8.3851
Ho Cd Al
4 1 1
direct
0.3774 0.3776 0.8677 Ho
0.6226 0.6224 0.1323 Ho
0.8732 0.8732 0.3804 Ho
0.1268 0.1268 0.6196 Ho
0.0000 0.0000 0.0000 Cd
0.5000 0.5000 0.5000 Al
```

Computed properties:
Distance to the lowest polymorph of the same formula, meV/atom: 243
Formation energy, meV per atom: 36

---

Record 13
Below is a relaxed structure of ScTaAs, with properties calculated at the PBE-GGA level.

```
ScTaAs
1.0
3.7584 0.0000 0.0000
0.0000 3.7584 0.0000
0.0000 0.0000 8.5560
Sc As Ta
2 2 2
direct
0.0000 0.5000 0.8234 Sc
0.5000 0.0000 0.1766 Sc
0.0000 0.5000 0.1444 As
0.5000 0.0000 0.8556 As
0.5000 0.0000 0.5557 Ta
0.0000 0.5000 0.4443 Ta
```

Computed properties:
Formation energy, meV per atom: -617

---

Record 14
Below is a relaxed structure of LiGdErSb, with properties calculated at the PBE-GGA level.

```
LiGdErSb
1.0
5.2048 0.0000 0.0000
2.6024 4.5075 0.0000
2.6024 1.5025 4.2497
Li Er Sb Gd
1 1 1 1
direct
0.7500 0.7500 0.7500 Li
0.5000 0.5000 0.5000 Er
0.2500 0.2500 0.2500 Sb
0.0000 0.0000 0.0000 Gd
```

Computed properties:
Energy relative to the elements, uncorrected, meV/atom: -435.6

---

Record 15
Below is a relaxed structure of NpPd9Pb2, with properties calculated at the PBE-GGA level.

```
NpPd9Pb2
1.0
-0.3795 3.6583 -1.8517
-2.8337 -1.5780 -2.5370
-8.9088 3.1277 8.0053
Pd Pb Np
9 2 1
direct
0.5000 0.5000 0.3343 Pd
0.5000 0.5000 0.0000 Pd
0.0000 0.5000 0.8355 Pd
0.0000 0.5000 0.5000 Pd
0.5000 0.0000 0.8355 Pd
0.5000 0.0000 0.5000 Pd
0.0000 0.5000 0.1645 Pd
0.5000 0.0000 0.1645 Pd
0.5000 0.5000 0.6657 Pd
0.0000 0.0000 0.6651 Pb
0.0000 0.0000 0.3349 Pb
0.0000 0.0000 0.0000 Np
```

Computed properties:
Formation energy, meV per atom: -340

---

Record 16
Below is a relaxed structure of HoHfV4, with properties calculated at the PBE-GGA level.

```
HoHfV4
1.0
5.2577 0.0000 0.0000
2.6289 4.5533 0.0000
2.6289 1.5178 4.2929
V Ho Hf
4 1 1
direct
0.1248 0.6251 0.6251 V
0.6251 0.6251 0.6251 V
0.6251 0.6251 0.1248 V
0.6251 0.1248 0.6251 V
0.2500 0.2500 0.2500 Ho
0.0000 0.0000 0.0000 Hf
```

Computed properties:
Formation energy, meV per atom: 225

---

Record 17
Below is a relaxed structure of LiHoZn2Ga4, with properties calculated at the PBE-GGA level.

```
LiHoZn2Ga4
1.0
-4.0245 1.7076 0.6104
-3.0628 -0.3851 -3.1553
-4.9297 -6.8173 2.5294
Zn Li Ga Ho
2 1 4 1
direct
0.7542 0.7542 0.7375 Zn
0.2458 0.2458 0.2625 Zn
0.5000 0.5000 0.5000 Li
0.8703 0.8703 0.3890 Ga
0.1297 0.1297 0.6110 Ga
0.3936 0.3936 0.8193 Ga
0.6064 0.6064 0.1807 Ga
0.0000 0.0000 0.0000 Ho
```

Computed properties:
Formation energy, meV per atom: -253

---

Record 18
Below is a relaxed structure of SrCeSe2, with properties calculated at the PBE-GGA level.

```
SrCeSe2
1.0
-2.3638 -2.4251 2.5104
-2.3840 -3.0561 -1.6576
4.1635 -6.6940 0.9933
Se Sr Ce
2 1 1
direct
0.0800 0.0800 0.7601 Se
0.2544 0.2544 0.2367 Se
0.4962 0.4962 0.5115 Sr
0.6694 0.6694 0.9917 Ce
```

Computed properties:
Distance to the lowest polymorph of the same formula, meV/atom: 131
Energy relative to the elements, uncorrected, meV/atom: -1783.9

---

Record 19
Below is a relaxed structure of ZnSbS2, with properties calculated at the PBE-GGA level.

```
ZnSbS2
1.0
2.3775 0.0000 7.5768
-1.1887 2.0589 7.5768
-1.1887 -2.0589 7.5768
S Sb Zn
2 1 1
direct
0.0995 0.0995 0.0995 S
0.9005 0.9005 0.9005 S
0.5000 0.5000 0.5000 Sb
0.0000 0.0000 0.0000 Zn
```

Computed properties:
Distance to the lowest polymorph of the same formula, meV/atom: 153
Energy relative to the elements, uncorrected, meV/atom: -14.3

---

Record 20
Below is a relaxed structure of FeRe2Te, with properties calculated at the PBE-GGA level.

```
FeRe2Te
1.0
4.2766 0.0000 0.0000
0.0000 3.8124 0.0000
0.0000 0.0000 3.8124
Fe Re Te
1 2 1
direct
0.5000 0.0000 0.5000 Fe
0.0000 0.5000 0.5000 Re
0.0000 0.0000 0.0000 Re
0.5000 0.5000 0.0000 Te
```

Computed properties:
Energy relative to the elements, uncorrected, meV/atom: 843.6